1.
A geometry-optimized LaPr2Cu6 structure. Source: Alexandria, functional GGA-PBE.

Values from the calculation:
Energy relative to the elements, meV/atom: -212
D(E_F), states/eV/f.u.: 4.7

a b c (Å): 3.8249 7.4696 7.4696
angles (deg): 120.00 90.00 90.00
With the nearest neighbours (Å) after each atom.
Fractional coordinates of all 9 atoms:
Pr: 0.0000 0.6667 0.3333  12 Cu 3.14
Cu: 0.5000 0.0000 0.6662  3 Cu 2.48-2.49
Cu: 0.5000 0.0000 0.3338  3 Cu 2.48-2.49
Cu: 0.5000 0.3338 0.3338  3 Cu 2.48-2.49
Pr: 0.0000 0.3333 0.6667  12 Cu 3.14
Cu: 0.5000 0.6662 0.0000  3 Cu 2.48-2.49
Cu: 0.5000 0.6662 0.6662  3 Cu 2.48-2.49
Cu: 0.5000 0.3338 0.0000  3 Cu 2.48-2.49
La: 0.0000 0.0000 0.0000  12 Cu 3.14

---

2.
A geometry-optimized PmTl2GeSe4 structure. Source: Alexandria, functional GGA-PBE.

Values from the calculation:
Formation energy (no corrections), eV per atom: -0.761
D(E_F), states/eV/f.u.: 5.3

a b c (Å): 8.6329 8.6329 8.5363
angles (deg): 119.63 119.63 90.43
With the nearest neighbours (Å) after each atom.
Fractional coordinates of all 16 atoms:
Tl: 0.5000 0.0000 0.5000  6 Se 3.17-3.19
Pm: 0.0000 0.5000 0.5000  6 Se 2.93-2.96
Se: 0.2403 0.2597 0.0287  2 Ge 2.88, 1 Pm 2.96, 3 Tl 3.19-3.22
Ge: 0.0000 0.0000 0.0000  6 Se 2.86-2.88
Se: 0.7597 0.7403 0.9713  2 Ge 2.88, 1 Pm 2.96, 3 Tl 3.19-3.22
Se: 0.7866 0.2528 0.0197  1 Ge 2.86, 2 Pm 2.93, 2 Tl 3.17
Tl: 0.0000 0.0000 0.5000  6 Se 3.22-3.27
Tl: 0.5000 0.0000 0.0000  6 Se 3.17-3.19
Se: 0.2472 0.7134 0.4803  1 Ge 2.86, 2 Pm 2.93, 2 Tl 3.17
Se: 0.7597 0.7403 0.5287  2 Ge 2.88, 1 Pm 2.96, 3 Tl 3.19-3.22
Se: 0.7529 0.2866 0.5197  1 Ge 2.86, 2 Pm 2.93, 2 Tl 3.17
Pm: 0.0000 0.5000 0.0000  6 Se 2.93-2.96
Ge: 0.5000 0.5000 0.5000  6 Se 2.86-2.88
Tl: 0.5000 0.5000 0.0000  6 Se 3.22-3.27
Se: 0.2134 0.7471 0.9803  1 Ge 2.86, 2 Pm 2.93, 2 Tl 3.17
Se: 0.2403 0.2597 0.4713  2 Ge 2.88, 1 Pm 2.96, 3 Tl 3.19-3.22

---

3.
A geometry-optimized PrY6S8 structure. Source: Alexandria, functional GGA-PBE.

Values from the calculation:
Formation energy (no corrections), eV per atom: -2.031
D(E_F), states/eV/f.u.: 6.1

a b c (Å): 7.8461 7.8461 7.8461
angles (deg): 60.00 60.00 60.00
With the nearest neighbours (Å) after each atom.
Fractional coordinates of all 15 atoms:
S: 0.7416 0.7416 0.2584  4 Y 2.78, 1 Pr 2.87
Y: 0.0000 0.5000 0.0000  6 S 2.77-2.78
S: 0.2500 0.2500 0.2500  6 Y 2.77
S: 0.2584 0.7416 0.7416  4 Y 2.78, 1 Pr 2.87
S: 0.2584 0.7416 0.2584  4 Y 2.78, 1 Pr 2.87
Y: 0.5000 0.5000 0.0000  6 S 2.77-2.78
Y: 0.0000 0.0000 0.5000  6 S 2.77-2.78
S: 0.7416 0.2584 0.7416  4 Y 2.78, 1 Pr 2.87
S: 0.2584 0.2584 0.7416  4 Y 2.78, 1 Pr 2.87
S: 0.7416 0.2584 0.2584  4 Y 2.78, 1 Pr 2.87
S: 0.7500 0.7500 0.7500  6 Y 2.77
Y: 0.5000 0.0000 0.5000  6 S 2.77-2.78
Pr: 0.0000 0.0000 0.0000  6 S 2.87
Y: 0.5000 0.0000 0.0000  6 S 2.77-2.78
Y: 0.0000 0.5000 0.5000  6 S 2.77-2.78

---

4.
A geometry-optimized TmSe3O9 structure. Source: Alexandria, functional GGA-PBE.

Values from the calculation:
Formation energy (no corrections), eV per atom: -1.184

a b c (Å): 8.2884 8.2926 9.2530
angles (deg): 71.01 63.39 60.02
With the nearest neighbours (Å) after each atom.
Fractional coordinates of all 26 atoms:
O: 0.6812 0.7511 0.6289  1 Se 1.68
O: 0.0722 0.5230 0.2082  1 Se 1.70
Se: 0.4874 0.7268 0.2485  4 O 1.64-1.72
O: 0.3380 0.3120 0.9121  1 Se 1.68
O: 0.4558 0.1953 0.6284  1 Se 1.67
O: 0.4379 0.8120 0.4121  1 Se 1.68
O: 0.9278 0.5342 0.7955  1 Se 1.68
Se: 0.2345 0.4697 0.2990  3 O 1.68-1.78
O: 0.9389 0.2511 0.1289  1 Se 1.68
O: 0.6920 0.0067 0.8107  1 Se 1.72
O: 0.4905 0.5067 0.3107  1 Se 1.72
Se: 0.8681 0.5394 0.6425  2 O 1.68
Se: 0.9500 0.0394 0.1425  2 O 1.68
O: 0.8542 0.1028 0.9653  2 Se 1.78-1.95
O: 0.3258 0.8601 0.1561  1 Se 1.64
O: 0.0777 0.6028 0.4653  2 Se 1.78-1.95
Tm: 0.4905 0.9919 0.5016  6 O 2.19-2.28
Se: 0.5374 0.2268 0.7485  4 O 1.64-1.72
Se: 0.9967 0.9697 0.7990  3 O 1.68-1.78
O: 0.1966 0.0230 0.7082  1 Se 1.70
O: 0.0837 0.7445 0.8810  1 Se 1.68
O: 0.6580 0.3601 0.6561  1 Se 1.64
O: 0.7205 0.6953 0.1284  1 Se 1.67
O: 0.2908 0.2445 0.3810  1 Se 1.68
O: 0.7425 0.0342 0.2955  1 Se 1.68
Tm: 0.0160 0.4919 0.0016  6 O 2.19-2.28

---

5.
A geometry-optimized LiMnIrPd2 structure. Source: Alexandria, functional GGA-PBE.

Values from the calculation:
Energy relative to the elements, meV/atom: 773
D(E_F), states/eV/f.u.: 6.8

a b c (Å): 4.9377 4.6740 4.9377
angles (deg): 90.00 90.00 90.00
With the nearest neighbours (Å) after each atom.
Fractional coordinates of all 5 atoms:
Pd: 0.5000 0.0000 0.0000  2 Ir 2.47
Mn: 0.0000 0.5000 0.0000  2 Ir 2.34
Li: 0.5000 0.5000 0.5000  8 Pd 3.40, 4 Mn 3.49
Pd: 0.0000 0.0000 0.5000  2 Ir 2.47
Ir: 0.0000 0.0000 0.0000  2 Mn 2.34, 4 Pd 2.47

---

6.
A geometry-optimized GePCl2O structure. Source: Alexandria, functional GGA-PBE.

Values from the calculation:
Formation energy (no corrections), eV per atom: 0.811
Energy above the most stable polymorph in this dataset, meV per atom: 261
D(E_F), states/eV/f.u.: 8.5

a b c (Å): 4.6632 4.6632 5.1079
angles (deg): 90.00 90.00 90.00
With the nearest neighbours (Å) after each atom.
Fractional coordinates of all 5 atoms:
Ge: 0.0000 0.0000 0.0000  4 Cl 2.33, 2 P 2.55
P: 0.0000 0.0000 0.5000  2 Ge 2.55
O: 0.5000 0.5000 0.5000  4 P 3.30, 8 Cl 3.46
Cl: 0.0000 0.5000 0.0000  2 Ge 2.33
Cl: 0.5000 0.0000 0.0000  2 Ge 2.33

---

7.
A geometry-optimized La2CrHPt structure. Source: Alexandria, functional GGA-PBE.

Values from the calculation:
D(E_F), states/eV/f.u.: 2.9

a b c (Å): 5.2816 3.7614 5.2816
angles (deg): 90.00 90.00 90.00
With the nearest neighbours (Å) after each atom.
Fractional coordinates of all 5 atoms:
Cr: 0.5000 0.5000 0.5000  8 La 3.24
La: 0.0000 0.0000 0.5000  2 H 2.64
H: 0.0000 0.0000 0.0000  2 Pt 1.88
Pt: 0.0000 0.5000 0.0000  2 H 1.88
La: 0.5000 0.0000 0.0000  2 H 2.64

---

8.
A geometry-optimized CaPr2Sn structure. Source: Alexandria, functional GGA-PBE.

Values from the calculation:
Energy relative to the elements, meV/atom: -60
Energy above the most stable polymorph in this dataset, meV per atom: 348
D(E_F), states/eV/f.u.: 5.7

a b c (Å): 3.6127 3.6127 12.5434
angles (deg): 81.72 81.72 60.00
With the nearest neighbours (Å) after each atom.
Fractional coordinates of all 4 atoms:
Pr: 0.9044 0.9044 0.2867  3 Sn 3.36, 1 Ca 3.55, 6 Pr 3.61
Pr: 0.0956 0.0956 0.7133  3 Sn 3.36, 1 Ca 3.55, 6 Pr 3.61
Sn: 0.5000 0.5000 0.5000  6 Pr 3.36, 6 Sn 3.61
Ca: 0.0000 0.0000 0.0000  2 Pr 3.55, 6 Ca 3.61

---

These records have VASP energy values of -4.553 -4.266 -7.136 -5.765 -5.293 -2.924 -6.062 -3.951 eV per atom, in the order they appear.